Record 1
## TlHg2PdF (PBE-GGA)

Data for crystalline TlHg2PdF at its relaxed geometry.

Properties
Calculated total energy (Ha/atom): -0.06515

The structure in CIF format:
```
data_TlHg2PdF
_chemical_formula_sum 'Tl1 Hg2 Pd1 F1'
_cell_length_a 5.8327
_cell_length_b 5.8327
_cell_length_c 5.2461
_cell_angle_alpha 90.00
_cell_angle_beta 90.00
_cell_angle_gamma 90.00
_space_group_name_H-M_alt 'P 4/m m m'
_space_group_IT_number 123
_space_group_name_Hall '-P 4 2'
loop_
_atom_site_label
_atom_site_type_symbol
_atom_site_fract_x
_atom_site_fract_y
_atom_site_fract_z
_atom_site_occupancy
Tl1 Tl 0.0000 0.0000 0.0000 1
Hg1 Hg 0.0000 0.5000 0.0000 1
Pd1 Pd 0.0000 0.0000 0.5000 1
F1 F 0.5000 0.5000 0.5000 1
```

***

Record 2
## ErLuIn2 (PBE-GGA)

Data for crystalline ErLuIn2 at its relaxed geometry.

Properties
Formation energy (kJ per mole of atoms): -30

The structure in CIF format:
```
data_ErLuIn2
_chemical_formula_sum 'Er3 Lu3 In6'
_cell_length_a 3.6264
_cell_length_b 3.6264
_cell_length_c 28.9442
_cell_angle_alpha 90.00
_cell_angle_beta 90.00
_cell_angle_gamma 120.00
_space_group_name_H-M_alt 'R -3 m'
_space_group_IT_number 166
_space_group_name_Hall '-R 3 2"'
loop_
_atom_site_label
_atom_site_type_symbol
_atom_site_fract_x
_atom_site_fract_y
_atom_site_fract_z
_atom_site_occupancy
Er1 Er 0.0000 0.0000 0.0000 1
Lu1 Lu 0.0000 0.0000 0.5000 1
In1 In 0.0000 0.0000 0.2494 1
```

***

Record 3
## YAs2Se (PBE-GGA)

Data for crystalline YAs2Se at its relaxed geometry.

Properties
Calculated total energy (Ha/atom): -0.20026

The structure in CIF format:
```
data_YAs2Se
_chemical_formula_sum 'Y2 As4 Se2'
_cell_length_a 5.8064
_cell_length_b 5.8064
_cell_length_c 5.7952
_cell_angle_alpha 90.00
_cell_angle_beta 90.00
_cell_angle_gamma 90.00
_space_group_name_H-M_alt 'I 4/m m m'
_space_group_IT_number 139
_space_group_name_Hall '-I 4 2'
loop_
_atom_site_label
_atom_site_type_symbol
_atom_site_fract_x
_atom_site_fract_y
_atom_site_fract_z
_atom_site_occupancy
Y1 Y 0.0000 0.0000 0.0000 1
As1 As 0.0000 0.5000 0.0000 1
Se1 Se 0.0000 0.0000 0.5000 1
```